No. 1
{
  "formula": "La2TbSm2Ho4",
  "functional": "PBE",
  "state": "relaxed",
  "lattice_angstrom": [[9.420, -1.818, 0.000], [9.420, 1.818, 0.000], [-4.188, 0.000, 8.688]],
  "species": ["La", "La", "Tb", "Sm", "Sm", "Ho", "Ho", "Ho", "Ho"],
  "fractional_positions": [[0.165, 0.165, 0.001], [0.835, 0.835, 0.999], [0.500, 0.500, 0.000], [0.353, 0.353, 0.338], [0.647, 0.647, 0.662], [0.020, 0.020, 0.334], [0.315, 0.315, 0.662], [0.685, 0.685, 0.338], [0.980, 0.980, 0.666]],
  "dos_at_fermi_per_ev_atom": 1.459,
  "energy_ev_per_atom": -4.690,
  "crystal_system": "monoclinic",
  "formation_energy_kj_per_mol_fu": 3
}



No. 2
{
  "formula": "La6TbSm2Ho",
  "functional": "PBE",
  "state": "relaxed",
  "lattice_angstrom": [[4.944, -7.668, 0.000], [4.944, 7.668, 0.000], [-0.140, 0.000, 9.278]],
  "species": ["La", "La", "La", "La", "La", "La", "La", "La", "La", "La", "La", "La", "Tb", "Tb", "Sm", "Sm", "Sm", "Sm", "Ho", "Ho"],
  "fractional_positions": [[0.028, 0.465, 0.819], [0.075, 0.777, 0.591], [0.223, 0.925, 0.909], [0.282, 0.568, 0.404], [0.432, 0.718, 0.096], [0.465, 0.028, 0.319], [0.535, 0.972, 0.681], [0.568, 0.282, 0.904], [0.718, 0.432, 0.596], [0.777, 0.075, 0.091], [0.925, 0.223, 0.409], [0.972, 0.535, 0.181], [0.065, 0.935, 0.250], [0.935, 0.065, 0.750], [0.205, 0.294, 0.064], [0.294, 0.205, 0.564], [0.706, 0.795, 0.436], [0.795, 0.706, 0.936], [0.429, 0.571, 0.750], [0.571, 0.429, 0.250]],
  "dos_at_fermi_per_ev_atom": 1.211,
  "energy_ev_per_atom": -4.708,
  "crystal_system": "monoclinic",
  "formation_energy_kj_per_mol_fu": 109
}



No. 3
{
  "formula": "La6Tb2SmHo",
  "functional": "PBE",
  "state": "relaxed",
  "lattice_angstrom": [[5.742, -3.494, 0.000], [5.742, 3.494, 0.000], [-2.710, 0.000, 8.864]],
  "species": ["La", "La", "La", "La", "La", "La", "Tb", "Tb", "Sm", "Ho"],
  "fractional_positions": [[0.077, 0.533, 0.193], [0.131, 0.131, 0.425], [0.467, 0.923, 0.807], [0.533, 0.077, 0.193], [0.869, 0.869, 0.575], [0.923, 0.467, 0.807], [0.427, 0.427, 0.828], [0.573, 0.573, 0.172], [0.500, 0.500, 0.500], [0.000, 0.000, 0.000]],
  "dos_at_fermi_per_ev_atom": 1.937,
  "energy_ev_per_atom": -4.620,
  "crystal_system": "monoclinic",
  "formation_energy_kj_per_mol_fu": 185
}



Computed values of M_tot (unit: μB/atom) for the preceding records, in sequence: 0.000; 0.000; 0.000.